No. 1
The following is a DFT calculation (GGA+U) of ScTl2Cr3F12 after structural relaxation.

a = 7.746 Å, b = 7.746 Å, c = 7.746 Å
α = 57.36°, β = 57.36°, γ = 57.36°
Atoms (fractional coordinates):
Sc: 0.000 0.000 0.000
Tl: 0.388 0.388 0.388
Tl: 0.612 0.612 0.612
Cr: 0.000 0.000 0.500
Cr: 0.000 0.500 0.000
Cr: 0.500 0.000 0.000
F: 0.073 0.073 0.679
F: 0.073 0.679 0.073
F: 0.078 0.679 0.679
F: 0.321 0.321 0.922
F: 0.321 0.922 0.321
F: 0.321 0.927 0.927
F: 0.679 0.073 0.073
F: 0.679 0.078 0.679
F: 0.679 0.679 0.078
F: 0.922 0.321 0.321
F: 0.927 0.321 0.927
F: 0.927 0.927 0.321

Properties
E: -5.85 eV/atom
calculated volume: 308.69 Å³/cell

No. 2
The following is a DFT calculation (GGA+U) of Cr2SeF after structural relaxation.

a = 5.307 Å, b = 5.307 Å, c = 12.093 Å
α = 90.00°, β = 90.00°, γ = 90.00°
Atoms (fractional coordinates):
Cr: 0.203 0.250 0.125
Cr: 0.250 0.703 0.375
Cr: 0.250 0.797 0.875
Cr: 0.297 0.250 0.625
Cr: 0.703 0.750 0.625
Cr: 0.750 0.203 0.875
Cr: 0.750 0.297 0.375
Cr: 0.797 0.750 0.125
Se: 0.000 0.000 0.500
Se: 0.000 0.500 0.750
Se: 0.500 0.000 0.250
Se: 0.500 0.500 0.000
F: 0.000 0.000 0.000
F: 0.000 0.500 0.250
F: 0.500 0.000 0.750
F: 0.500 0.500 0.500

Properties
E: -5.91 eV/atom
calculated volume: 340.62 Å³/cell
energy relative to the lowest polymorph listed for this composition: 0.000 eV/f.u.

No. 3
The following is a DFT calculation (GGA+U) of CrSeF3 after structural relaxation.

a = 4.152 Å, b = 4.152 Å, c = 4.152 Å
α = 90.00°, β = 90.00°, γ = 90.00°
Atoms (fractional coordinates):
Cr: 0.000 0.000 0.000
Se: 0.500 0.500 0.500
F: 0.000 0.000 0.500
F: 0.000 0.500 0.000
F: 0.500 0.000 0.000

Properties
E: -4.80 eV/atom
calculated volume: 71.59 Å³/cell
energy relative to the lowest polymorph listed for this composition: 0.000 eV/f.u.

No. 4
The following is a DFT calculation (GGA+U) of Cr2SeF after structural relaxation.

a = 6.372 Å, b = 6.372 Å, c = 6.372 Å
α = 90.00°, β = 90.00°, γ = 90.00°
Atoms (fractional coordinates):
Cr: 0.250 0.250 0.250
Cr: 0.250 0.250 0.750
Cr: 0.250 0.750 0.250
Cr: 0.250 0.750 0.750
Cr: 0.750 0.250 0.250
Cr: 0.750 0.250 0.750
Cr: 0.750 0.750 0.250
Cr: 0.750 0.750 0.750
Se: 0.000 0.000 0.000
Se: 0.000 0.500 0.500
Se: 0.500 0.000 0.500
Se: 0.500 0.500 0.000
F: 0.000 0.000 0.500
F: 0.000 0.500 0.000
F: 0.500 0.000 0.000
F: 0.500 0.500 0.500

Properties
E: -5.85 eV/atom
calculated volume: 258.75 Å³/cell
energy relative to the lowest polymorph listed for this composition: 0.260 eV/f.u.

No. 5
The following is a DFT calculation (GGA+U) of CrSeF3 after structural relaxation.

a = 4.439 Å, b = 4.439 Å, c = 4.439 Å
α = 90.00°, β = 90.00°, γ = 90.00°
Atoms (fractional coordinates):
Cr: 0.000 0.000 0.000
Se: 0.500 0.500 0.500
F: 0.000 0.500 0.500
F: 0.500 0.000 0.500
F: 0.500 0.500 0.000

Properties
E: -4.10 eV/atom
calculated volume: 87.45 Å³/cell
energy relative to the lowest polymorph listed for this composition: 3.525 eV/f.u.

No. 6
The following is a DFT calculation (GGA+U) of CrSiSe2F after structural relaxation.

a = 4.942 Å, b = 4.942 Å, c = 3.760 Å
α = 90.00°, β = 90.00°, γ = 90.00°
Atoms (fractional coordinates):
Cr: 0.000 0.000 0.000
Si: 0.500 0.500 0.500
Se: 0.000 0.500 0.500
Se: 0.500 0.000 0.500
F: 0.500 0.500 0.000

Properties
E: -4.95 eV/atom
calculated volume: 91.85 Å³/cell

No. 7
The following is a DFT calculation (GGA+U) of CrTcSeF2 after structural relaxation.

a = 4.046 Å, b = 4.046 Å, c = 5.184 Å
α = 90.00°, β = 90.00°, γ = 90.00°
Atoms (fractional coordinates):
Cr: 0.000 0.000 0.000
Tc: 0.500 0.500 0.500
Se: 0.500 0.500 0.000
F: 0.000 0.500 0.500
F: 0.500 0.000 0.500

Properties
E: -5.82 eV/atom
calculated volume: 84.87 Å³/cell

No. 8
The following is a DFT calculation (GGA+U) of TlCrSeF2 after structural relaxation.

a = 4.113 Å, b = 4.113 Å, c = 5.713 Å
α = 90.00°, β = 90.00°, γ = 90.00°
Atoms (fractional coordinates):
Tl: 0.000 0.000 0.000
Cr: 0.500 0.500 0.500
Se: 0.500 0.500 0.000
F: 0.000 0.500 0.500
F: 0.500 0.000 0.500

Properties
E: -5.01 eV/atom
calculated volume: 96.65 Å³/cell

No. 9
The following is a DFT calculation (GGA+U) of Zn2CrSeF after structural relaxation.

a = 5.125 Å, b = 5.125 Å, c = 4.588 Å
α = 90.00°, β = 90.00°, γ = 90.00°
Atoms (fractional coordinates):
Zn: 0.000 0.500 0.000
Zn: 0.500 0.000 0.000
Cr: 0.000 0.000 0.000
Se: 0.000 0.000 0.500
F: 0.500 0.500 0.500

Properties
E: -3.04 eV/atom
calculated volume: 120.51 Å³/cell

No. 10
The following is a DFT calculation (GGA+U) of Cr3SiF after structural relaxation.

a = 4.412 Å, b = 4.412 Å, c = 4.412 Å
α = 90.00°, β = 90.00°, γ = 90.00°
Atoms (fractional coordinates):
Cr: 0.000 0.000 0.500
Cr: 0.000 0.500 0.000
Cr: 0.500 0.000 0.000
Si: 0.500 0.500 0.500
F: 0.000 0.000 0.000

Properties
E: -5.94 eV/atom
calculated volume: 85.86 Å³/cell
energy relative to the lowest polymorph listed for this composition: 0.000 eV/f.u.

No. 11
The following is a DFT calculation (GGA+U) of CrSiF3 after structural relaxation.

a = 4.237 Å, b = 4.237 Å, c = 4.237 Å
α = 90.00°, β = 90.00°, γ = 90.00°
Atoms (fractional coordinates):
Cr: 0.000 0.000 0.000
Si: 0.500 0.500 0.500
F: 0.000 0.500 0.500
F: 0.500 0.000 0.500
F: 0.500 0.500 0.000

Properties
E: -5.14 eV/atom
calculated volume: 76.05 Å³/cell

No. 12
The following is a DFT calculation (GGA+U) of CrSiF6 after structural relaxation.

a = 5.447 Å, b = 5.447 Å, c = 7.724 Å
α = 91.05°, β = 91.05°, γ = 65.03°
Atoms (fractional coordinates):
Cr: 0.003 0.997 0.750
Cr: 0.997 0.003 0.250
Si: 0.000 0.500 0.500
Si: 0.500 0.000 0.000
F: 0.161 0.592 0.668
F: 0.162 0.608 0.347
F: 0.180 0.242 0.994
F: 0.242 0.180 0.494
F: 0.392 0.838 0.153
F: 0.408 0.839 0.832
F: 0.592 0.161 0.168
F: 0.608 0.162 0.847
F: 0.758 0.820 0.506
F: 0.820 0.758 0.006
F: 0.838 0.392 0.653
F: 0.839 0.408 0.332

Properties
E: -5.84 eV/atom
calculated volume: 207.67 Å³/cell

No. 13
The following is a DFT calculation (GGA+U) of CrSiF2 after structural relaxation.

a = 5.884 Å, b = 5.884 Å, c = 5.884 Å
α = 90.00°, β = 90.00°, γ = 90.00°
Atoms (fractional coordinates):
Cr: 0.000 0.000 0.000
Cr: 0.000 0.500 0.500
Cr: 0.500 0.000 0.500
Cr: 0.500 0.500 0.000
Si: 0.000 0.000 0.500
Si: 0.000 0.500 0.000
Si: 0.500 0.000 0.000
Si: 0.500 0.500 0.500
F: 0.250 0.250 0.250
F: 0.250 0.250 0.750
F: 0.250 0.750 0.250
F: 0.250 0.750 0.750
F: 0.750 0.250 0.250
F: 0.750 0.250 0.750
F: 0.750 0.750 0.250
F: 0.750 0.750 0.750

Properties
E: -3.99 eV/atom
calculated volume: 203.74 Å³/cell
energy relative to the lowest polymorph listed for this composition: 4.771 eV/f.u.

No. 14
The following is a DFT calculation (GGA+U) of CrSiF2 after structural relaxation.

a = 6.790 Å, b = 6.790 Å, c = 5.440 Å
α = 90.00°, β = 90.00°, γ = 90.00°
Atoms (fractional coordinates):
Cr: 0.000 0.000 0.000
Cr: 0.000 0.500 0.250
Cr: 0.500 0.000 0.750
Cr: 0.500 0.500 0.500
Si: 0.000 0.000 0.500
Si: 0.000 0.500 0.750
Si: 0.500 0.000 0.250
Si: 0.500 0.500 0.000
F: 0.133 0.750 0.125
F: 0.250 0.133 0.875
F: 0.250 0.367 0.375
F: 0.367 0.750 0.625
F: 0.633 0.250 0.625
F: 0.750 0.633 0.375
F: 0.750 0.867 0.875
F: 0.867 0.250 0.125

Properties
E: -5.12 eV/atom
calculated volume: 250.84 Å³/cell
energy relative to the lowest polymorph listed for this composition: 0.261 eV/f.u.

No. 15
The following is a DFT calculation (GGA+U) of CrSiF2 after structural relaxation.

a = 2.924 Å, b = 2.924 Å, c = 23.387 Å
α = 90.00°, β = 90.00°, γ = 120.00°
Atoms (fractional coordinates):
Cr: 0.000 0.000 0.000
Cr: 0.333 0.667 0.667
Cr: 0.667 0.333 0.333
Si: 0.000 0.000 0.500
Si: 0.333 0.667 0.167
Si: 0.667 0.333 0.833
F: 0.000 0.000 0.083
F: 0.000 0.000 0.917
F: 0.333 0.667 0.584
F: 0.333 0.667 0.750
F: 0.667 0.333 0.250
F: 0.667 0.333 0.416

Properties
E: -5.19 eV/atom
calculated volume: 173.21 Å³/cell
energy relative to the lowest polymorph listed for this composition: 0.000 eV/f.u.

No. 16
The following is a DFT calculation (GGA+U) of CrSi2F8 after structural relaxation.

a = 5.698 Å, b = 5.698 Å, c = 5.997 Å
α = 107.69°, β = 107.69°, γ = 60.91°
Atoms (fractional coordinates):
Cr: 0.000 0.000 0.000
Si: 0.127 0.127 0.617
Si: 0.873 0.873 0.383
F: 0.104 0.669 0.202
F: 0.155 0.155 0.327
F: 0.305 0.305 0.721
F: 0.331 0.896 0.798
F: 0.669 0.104 0.202
F: 0.695 0.695 0.279
F: 0.845 0.845 0.673
F: 0.896 0.331 0.798

Properties
E: -5.63 eV/atom
calculated volume: 159.22 Å³/cell

No. 17
The following is a DFT calculation (GGA+U) of CrSiF2 after structural relaxation.

a = 2.927 Å, b = 2.927 Å, c = 28.565 Å
α = 90.00°, β = 90.00°, γ = 120.00°
Atoms (fractional coordinates):
Cr: 0.000 0.000 0.000
Cr: 0.333 0.667 0.667
Cr: 0.667 0.333 0.333
Si: 0.000 0.000 0.500
Si: 0.333 0.667 0.167
Si: 0.667 0.333 0.833
F: 0.000 0.000 0.374
F: 0.000 0.000 0.626
F: 0.333 0.667 0.041
F: 0.333 0.667 0.293
F: 0.667 0.333 0.707
F: 0.667 0.333 0.959

Properties
E: -5.15 eV/atom
calculated volume: 211.90 Å³/cell
energy relative to the lowest polymorph listed for this composition: 0.153 eV/f.u.

No. 18
The following is a DFT calculation (GGA+U) of YCrSiF2 after structural relaxation.

a = 4.172 Å, b = 4.172 Å, c = 5.961 Å
α = 90.00°, β = 90.00°, γ = 90.00°
Atoms (fractional coordinates):
Y: 0.000 0.000 0.000
Cr: 0.500 0.500 0.000
Si: 0.000 0.000 0.500
F: 0.000 0.500 0.500
F: 0.500 0.000 0.500

Properties
E: -5.22 eV/atom
calculated volume: 103.78 Å³/cell

No. 19
The following is a DFT calculation (GGA+U) of ZnCrSiF2 after structural relaxation.

a = 3.856 Å, b = 3.856 Å, c = 5.658 Å
α = 90.00°, β = 90.00°, γ = 90.00°
Atoms (fractional coordinates):
Zn: 0.000 0.000 0.000
Cr: 0.500 0.500 0.500
Si: 0.500 0.500 0.000
F: 0.000 0.500 0.500
F: 0.500 0.000 0.500

Properties
E: -4.70 eV/atom
calculated volume: 84.15 Å³/cell

No. 20
The following is a DFT calculation (GGA+U) of ZnCrSi2F after structural relaxation.

a = 4.291 Å, b = 4.291 Å, c = 4.257 Å
α = 90.00°, β = 90.00°, γ = 90.00°
Atoms (fractional coordinates):
Zn: 0.000 0.000 0.000
Cr: 0.500 0.500 0.000
Si: 0.000 0.500 0.500
Si: 0.500 0.000 0.500
F: 0.000 0.000 0.500

Properties
E: -3.59 eV/atom
calculated volume: 78.40 Å³/cell